# 1
Li4MgGe2Pd after structural relaxation. Source: the Open Quantum Materials Database, functional PBE-GGA.

Structure (CIF):
```
data_Li4MgGe2Pd
_symmetry_space_group_name_H-M 'P 1'
_symmetry_Int_Tables_number 1
_symmetry_space_group_name_Hall 'P 1'
_cell_length_a 4.3793
_cell_length_b 4.3793
_cell_length_c 6.3247
_cell_angle_alpha 90.00
_cell_angle_beta 90.00
_cell_angle_gamma 90.00
loop_
_atom_site_label
_atom_site_type_symbol
_atom_site_fract_x
_atom_site_fract_y
_atom_site_fract_z
Li1 Li 0.0000 0.5000 0.2777
Li2 Li 0.0000 0.0000 0.5000
Li3 Li 0.5000 0.0000 0.7223
Li4 Li 0.5000 0.5000 0.0000
Pd1 Pd 0.5000 0.5000 0.5000
Mg1 Mg 0.0000 0.0000 0.0000
Ge1 Ge 0.5000 0.0000 0.2675
Ge2 Ge 0.0000 0.5000 0.7325
```

SG ... No. 115
Volume ... 15.2 A^3/atom
Electronic total energy ... -0.1243 hartree per atom

# 2
Pu2Si3Au after structural relaxation. Source: the Open Quantum Materials Database, functional PBE-GGA.

Structure (CIF):
```
data_Pu2Si3Au
_symmetry_space_group_name_H-M 'P 1'
_symmetry_Int_Tables_number 1
_symmetry_space_group_name_Hall 'P 1'
_cell_length_a 8.2856
_cell_length_b 8.2611
_cell_length_c 5.8380
_cell_angle_alpha 69.57
_cell_angle_beta 69.12
_cell_angle_gamma 41.32
loop_
_atom_site_label
_atom_site_type_symbol
_atom_site_fract_x
_atom_site_fract_y
_atom_site_fract_z
Au1 Au 0.3343 0.3343 0.6657
Au2 Au 0.6657 0.6657 0.3343
Pu1 Pu 0.2432 0.7568 0.7568
Pu2 Pu 0.7568 0.2432 0.2432
Pu3 Pu 0.2500 0.2500 0.2500
Pu4 Pu 0.7500 0.7500 0.7500
Si1 Si 0.8371 0.8371 0.1629
Si2 Si 0.8372 0.3257 0.6743
Si3 Si 0.1628 0.6743 0.3257
Si4 Si 0.6743 0.1628 0.8371
Si5 Si 0.3257 0.8372 0.1628
Si6 Si 0.1629 0.1629 0.8371
```

SG ... No. 69
Total moment ... 22.477 μB/cell
Volume ... 20.4 A^3/atom
Electronic total energy ... -0.3127 hartree per atom

# 3
GdHoPb2 after structural relaxation. Source: the Open Quantum Materials Database, functional PBE-GGA.

Structure (CIF):
```
data_GdHoPb2
_symmetry_space_group_name_H-M 'P 1'
_symmetry_Int_Tables_number 1
_symmetry_space_group_name_Hall 'P 1'
_cell_length_a 4.4431
_cell_length_b 6.2628
_cell_length_c 6.2628
_cell_angle_alpha 42.24
_cell_angle_beta 90.00
_cell_angle_gamma 90.00
loop_
_atom_site_label
_atom_site_type_symbol
_atom_site_fract_x
_atom_site_fract_y
_atom_site_fract_z
Pb1 Pb 0.5000 0.1007 0.1007
Pb2 Pb 0.0000 0.8993 0.8993
Gd1 Gd 0.0000 0.6296 0.6296
Ho1 Ho 0.5000 0.3703 0.3703
```

SG ... No. 38
Total moment ... 0.001 μB/cell
Volume ... 29.3 A^3/atom
Electronic total energy ... -0.1708 hartree per atom

# 4
AlCdW4C2 after structural relaxation. Source: the Open Quantum Materials Database, functional PBE-GGA.

Structure (CIF):
```
data_AlCdW4C2
_symmetry_space_group_name_H-M 'P 1'
_symmetry_Int_Tables_number 1
_symmetry_space_group_name_Hall 'P 1'
_cell_length_a 3.0349
_cell_length_b 3.0349
_cell_length_c 14.0722
_cell_angle_alpha 90.00
_cell_angle_beta 90.00
_cell_angle_gamma 120.00
loop_
_atom_site_label
_atom_site_type_symbol
_atom_site_fract_x
_atom_site_fract_y
_atom_site_fract_z
W1 W 0.0000 0.0000 0.3247
W2 W 0.0000 0.0000 0.6753
W3 W 0.6667 0.3333 0.1532
W4 W 0.6667 0.3333 0.8468
C1 C 0.3333 0.6667 0.7599
C2 C 0.3333 0.6667 0.2401
Cd1 Cd 0.6667 0.3333 0.5000
Al1 Al 0.0000 0.0000 0.0000
```

SG ... No. 187
Total moment ... 0.008 μB/cell
Volume ... 14.0 A^3/atom
Electronic total energy ... -0.3394 hartree per atom

# 5
Nd2Fe12P7 after structural relaxation. Source: the Open Quantum Materials Database, functional PBE-GGA.

Structure (CIF):
```
data_Nd2Fe12P7
_symmetry_space_group_name_H-M 'P 1'
_symmetry_Int_Tables_number 1
_symmetry_space_group_name_Hall 'P 1'
_cell_length_a 8.9864
_cell_length_b 8.9863
_cell_length_c 3.6682
_cell_angle_alpha 90.00
_cell_angle_beta 90.00
_cell_angle_gamma 120.00
loop_
_atom_site_label
_atom_site_type_symbol
_atom_site_fract_x
_atom_site_fract_y
_atom_site_fract_z
Fe1 Fe 0.1506 0.2709 0.0000
Fe2 Fe 0.2087 0.0957 0.5000
Fe3 Fe 0.9043 0.1130 0.5000
Fe4 Fe 0.6327 0.5765 0.0000
Fe5 Fe 0.9438 0.3673 0.0000
Fe6 Fe 0.4235 0.0562 0.0000
Fe7 Fe 0.7291 0.8797 0.0000
Fe8 Fe 0.1203 0.8494 0.0000
Fe9 Fe 0.5690 0.9511 0.5000
Fe10 Fe 0.3821 0.4310 0.5000
Fe11 Fe 0.8870 0.7913 0.5000
Fe12 Fe 0.0489 0.6179 0.5000
P1 P 0.2897 0.8954 0.5000
P2 P 0.8941 0.5937 0.0000
P3 P 0.6057 0.7103 0.5000
P4 P 0.1046 0.3943 0.5000
P5 P 0.0000 0.0000 0.0000
P6 P 0.6996 0.1059 0.0000
P7 P 0.4062 0.3003 0.0000
Nd1 Nd 0.3333 0.6667 0.0000
Nd2 Nd 0.6667 0.3333 0.5000
```

SG ... No. 174
Total moment ... 0.015 μB/cell
Volume ... 12.2 A^3/atom
Electronic total energy ... -0.2815 hartree per atom

# 6
DyLu3C2S2 after structural relaxation. Source: the Open Quantum Materials Database, functional PBE-GGA.

Structure (CIF):
```
data_DyLu3C2S2
_symmetry_space_group_name_H-M 'P 1'
_symmetry_Int_Tables_number 1
_symmetry_space_group_name_Hall 'P 1'
_cell_length_a 3.6327
_cell_length_b 3.6327
_cell_length_c 12.6357
_cell_angle_alpha 90.00
_cell_angle_beta 90.00
_cell_angle_gamma 120.00
loop_
_atom_site_label
_atom_site_type_symbol
_atom_site_fract_x
_atom_site_fract_y
_atom_site_fract_z
C1 C 0.6667 0.3333 0.0039
C2 C 0.6667 0.3333 0.4985
Lu1 Lu 0.3333 0.6667 0.1064
Lu2 Lu 0.3333 0.6667 0.3975
Lu3 Lu 0.0000 0.0000 0.6009
S1 S 0.3333 0.6667 0.7446
S2 S 0.0000 0.0000 0.2511
Dy1 Dy 0.0000 0.0000 0.8969
```

SG ... No. 156
Total moment ... 0.002 μB/cell
Volume ... 18.1 A^3/atom
Electronic total energy ... -0.2541 hartree per atom

# 7
MgNbCdIr after structural relaxation. Source: the Open Quantum Materials Database, functional PBE-GGA.

Structure (CIF):
```
data_MgNbCdIr
_symmetry_space_group_name_H-M 'P 1'
_symmetry_Int_Tables_number 1
_symmetry_space_group_name_Hall 'P 1'
_cell_length_a 4.6067
_cell_length_b 4.6067
_cell_length_c 4.6067
_cell_angle_alpha 60.00
_cell_angle_beta 60.00
_cell_angle_gamma 60.00
loop_
_atom_site_label
_atom_site_type_symbol
_atom_site_fract_x
_atom_site_fract_y
_atom_site_fract_z
Mg1 Mg 0.7500 0.7500 0.7500
Cd1 Cd 0.5000 0.5000 0.5000
Ir1 Ir 0.0000 0.0000 0.0000
Nb1 Nb 0.2500 0.2500 0.2500
```

SG ... No. 216
Distance to the lowest polymorph of the same formula ... 0.003 eV per atom
Total moment ... 0.000 μB/cell
Volume ... 17.3 A^3/atom
Electronic total energy ... -0.2026 hartree per atom

# 8
NbIn2CuSe4 after structural relaxation. Source: the Open Quantum Materials Database, functional PBE-GGA.

Structure (CIF):
```
data_NbIn2CuSe4
_symmetry_space_group_name_H-M 'P 1'
_symmetry_Int_Tables_number 1
_symmetry_space_group_name_Hall 'P 1'
_cell_length_a 13.5768
_cell_length_b 12.1185
_cell_length_c 7.3552
_cell_angle_alpha 84.65
_cell_angle_beta 62.71
_cell_angle_gamma 32.64
loop_
_atom_site_label
_atom_site_type_symbol
_atom_site_fract_x
_atom_site_fract_y
_atom_site_fract_z
In1 In 0.4292 0.4292 0.0708
In2 In 0.1792 0.1792 0.8208
In3 In 0.0708 0.0708 0.4292
In4 In 0.8208 0.8208 0.1792
Se1 Se 0.5380 0.8436 0.1707
Se2 Se 0.8436 0.5380 0.4476
Se3 Se 0.8024 0.0793 0.4064
Se4 Se 0.0793 0.8024 0.7120
Se5 Se 0.4064 0.7120 0.8024
Se6 Se 0.7120 0.4064 0.0793
Se7 Se 0.4476 0.1707 0.8436
Se8 Se 0.1707 0.4476 0.5380
Cu1 Cu 0.5000 0.5000 0.5000
Cu2 Cu 0.7500 0.7500 0.7500
Nb1 Nb 0.0000 0.0000 0.0000
Nb2 Nb 0.2500 0.2500 0.2500
```

SG ... No. 70
Total moment ... 0.003 μB/cell
Volume ... 28.7 A^3/atom
Electronic total energy ... -0.1694 hartree per atom

> Which of these has the lowest electronic total energy?

AlCdW4C2

> electronic total energy of number 1 (Li4MgGe2Pd)?

-0.1243 hartree per atom

> Number 3 is which compound?

GdHoPb2